(1)
The following is a DFT calculation (PBE) of a relaxed Y5GaRh4 crystal.

abc: 3.483 3.483 17.228
angles: 90.00 90.00 90.00
Sites, in units of the cell vectors:
Y1 0.500 0.500 0.109
Y2 0.500 0.500 0.696
Y3 0.500 0.500 0.304
Y4 0.500 0.500 0.891
Y5 0.500 0.500 0.500
Rh1 0.000 0.000 0.402
Rh2 0.000 0.000 0.203
Rh3 0.000 0.000 0.797
Rh4 0.000 0.000 0.598
Ga1 0.000 0.000 0.000

Output
spin magnetization	0.0	μB per cell
theoretical density	7.4	Mg/m³
V	20.90	Å³/atom
calculated total energy	-72.67	eV per formula unit
DFT formation energy	-0.791	eV/atom

=====

(2)
The following is a DFT calculation (PBE) of a relaxed BeTc3Hg crystal.

abc: 4.214 4.214 4.214
angles: 90.00 90.00 90.00
Sites, in units of the cell vectors:
Tc1 0.500 0.000 0.000
Tc2 0.000 0.000 0.500
Tc3 0.000 0.500 0.000
Hg1 0.500 0.500 0.500
Be1 0.000 0.000 0.000

Output
spin magnetization	0.0	μB per cell
theoretical density	11.2	Mg/m³
V	14.97	Å³/atom
calculated total energy	-31.30	eV per formula unit
energy above the lowest structure with this stoichiometry	0.0	kJ per mole of atoms
DFT formation energy	0.765	eV/atom

=====

(3)
The following is a DFT calculation (PBE) of a relaxed SrMg2CdS crystal.

abc: 6.399 6.190 6.399
angles: 90.00 90.00 90.00
Sites, in units of the cell vectors:
Sr1 0.000 0.000 0.000
Cd1 0.000 0.500 0.000
Mg1 0.000 0.000 0.500
Mg2 0.500 0.000 0.000
S1 0.500 0.500 0.500

Output
spin magnetization	0.2	μB per cell
theoretical density	1.8	Mg/m³
uncorrected formation energy	974	meV/atom
V	50.69	Å³/atom
calculated total energy	-5.04	eV per formula unit

=====

(4)
The following is a DFT calculation (PBE) of a relaxed KMg2SbAs crystal.

abc: 5.507 5.733 5.507
angles: 90.00 90.00 90.00
Sites, in units of the cell vectors:
Sb1 0.000 0.000 0.000
K1 0.500 0.500 0.500
Mg1 0.500 0.000 0.000
Mg2 0.000 0.000 0.500
As1 0.000 0.500 0.000

Output
spin magnetization	0.0	μB per cell
theoretical density	2.7	Mg/m³
uncorrected formation energy	224	meV/atom
V	34.77	Å³/atom
calculated total energy	-11.94	eV per formula unit

=====

(5)
The following is a DFT calculation (PBE) of a relaxed Tb4Pr5Sm2 crystal.

abc: 3.562 9.296 12.856
angles: 111.19 97.96 90.00
Sites, in units of the cell vectors:
Sm1 0.731 0.731 0.462
Sm2 0.269 0.269 0.538
Tb1 0.000 0.311 0.000
Tb2 0.596 0.596 0.193
Tb3 0.000 0.689 0.000
Tb4 0.404 0.404 0.807
Pr1 0.500 0.000 0.000
Pr2 0.854 0.054 0.708
Pr3 0.854 0.653 0.708
Pr4 0.146 0.347 0.292
Pr5 0.146 0.946 0.292

Output
spin magnetization	0.0	μB per cell
theoretical density	6.9	Mg/m³
V	35.68	Å³/atom
calculated total energy	-49.83	eV per formula unit
energy above the lowest structure with this stoichiometry	10.8	kJ per mole of atoms
DFT formation energy	0.184	eV/atom

=====

(6)
The following is a DFT calculation (PBE) of a relaxed LiHfTa4N8 crystal.

abc: 6.230 6.230 6.236
angles: 60.03 60.03 60.00
Sites, in units of the cell vectors:
N1 0.746 0.238 0.271
N2 0.248 0.248 0.724
N3 0.746 0.746 0.271
N4 0.248 0.780 0.724
N5 0.242 0.242 0.274
N6 0.756 0.756 0.732
N7 0.780 0.248 0.724
N8 0.238 0.746 0.271
Ta1 0.493 0.001 0.504
Ta2 0.001 0.001 0.504
Ta3 0.622 0.622 0.134
Ta4 0.001 0.493 0.504
Hf1 0.379 0.379 0.863
Li1 0.001 0.001 0.998

Output
spin magnetization	0.0	μB per cell
theoretical density	9.9	Mg/m³
uncorrected formation energy	-1036	meV/atom
V	12.23	Å³/atom
calculated total energy	-140.39	eV per formula unit